[1]
Rb3Mg2Cl2F5, relaxed, DFT PBE; raw formation energy = -3251 kJ/mol of formula units; Fermi-level density of states = 0.00 states/eV/f.u.; raw total energy = -4.40 eV per atom
1.0
-2.1560 2.1560 12.1695
2.1560 -2.1560 12.1695
2.1560 2.1560 -12.1695
Rb Mg Cl F
3 2 2 5
direct
0.0000 0.0000 0.0000
0.1703 0.1703 0.0000
0.8297 0.8297 0.0000
0.4181 0.4181 0.0000
0.5819 0.5819 0.0000
0.3134 0.3134 0.0000
0.6866 0.6866 0.0000
0.0826 0.5826 0.5000
0.4174 0.9174 0.5000
0.5000 0.5000 0.0000
0.5826 0.0826 0.5000
0.9174 0.4174 0.5000

[2]
TaCo2Ag, relaxed, DFT PBE; formation enthalpy at 0 K = 187 meV/atom; Fermi-level density of states = 4.69 states/eV/f.u.; energy relative to the lowest polymorph listed for this composition = 154.4 meV/atom; raw total energy = -7.04 eV per atom
1.0
3.6895 0.0000 0.0000
0.0000 3.6895 0.0000
0.0000 0.0000 8.1430
Ta Co Ag
2 4 2
direct
0.0000 0.0000 0.0000
0.5000 0.5000 0.5000
0.0000 0.0000 0.5000
0.0000 0.5000 0.2500
0.5000 0.0000 0.7500
0.5000 0.5000 0.0000
0.0000 0.5000 0.7500
0.5000 0.0000 0.2500

[3]
CdCuIr2, relaxed, DFT PBE; formation enthalpy at 0 K = 141 meV/atom; Fermi-level density of states = 3.15 states/eV/f.u.; raw total energy = -5.54 eV per atom
1.0
9.2358 0.0000 0.0000
0.0000 2.7811 0.0000
-0.9589 0.0000 4.7353
Cd Cu Ir
2 2 4
direct
0.0000 0.0000 0.0000
0.5000 0.5000 0.0000
0.0000 0.5000 0.5000
0.5000 0.0000 0.5000
0.2408 0.0000 0.7289
0.2592 0.5000 0.2711
0.7408 0.5000 0.7289
0.7592 0.0000 0.2711

Question: Look up the raw total energy of the third one.
Answer: -5.54 eV per atom